No. 1
The following is a DFT calculation (PBE-GGA) of AgSbBr5 after structural relaxation.

CIF file:
```
data_AgSbBr5
_chemical_formula_sum 'Ag4 Sb4 Br20'
_symmetry_space_group_name_H-M 'C 1 2/c 1'
_symmetry_Int_Tables_number 15
_cell_length_a 11.986
_cell_length_b 8.253
_cell_length_c 10.792
_cell_angle_alpha 90.00
_cell_angle_beta 116.89
_cell_angle_gamma 90.00
loop_
_symmetry_equiv_pos_as_xyz
'x,y,z'
'-x,-y,-z'
'-x,y,-z+1/2'
'x,-y,z+1/2'
'x+1/2,y+1/2,z'
'-x+1/2,-y+1/2,-z'
'-x+1/2,y+1/2,-z+1/2'
'x+1/2,-y+1/2,z+1/2'
loop_
_atom_site_label
_atom_site_fract_x
_atom_site_fract_y
_atom_site_fract_z
Ag1 0.000 0.032 0.250
Sb1 0.000 0.500 0.000
Br1 0.000 0.372 0.250
Br2 0.062 0.197 0.960
Br3 0.244 0.427 0.646
```

No. 2
# PBE-GGA AgSbBr2, relaxed
# ΔE to the lowest computed polymorph ... 207 meV per atom
data_AgSbBr2
_chemical_formula_sum 'Ag1 Sb1 Br2'
_symmetry_space_group_name_H-M 'P 1 2/m 1'
_symmetry_Int_Tables_number 10
_cell_length_a 3.534
_cell_length_b 4.554
_cell_length_c 7.200
_cell_angle_alpha 90.00
_cell_angle_beta 101.37
_cell_angle_gamma 90.00
loop_
_symmetry_equiv_pos_as_xyz
'x,y,z'
'-x,-y,-z'
'-x,y,-z'
'x,-y,z'
loop_
_atom_site_label
_atom_site_fract_x
_atom_site_fract_y
_atom_site_fract_z
Ag1 0.000 0.000 0.000
Sb1 0.000 0.000 0.500
Br1 0.106 0.500 0.762

No. 3
# PBE-GGA Ag2SbBr, relaxed
# ΔE to the lowest computed polymorph ... 74 meV per atom
data_Ag2SbBr
_chemical_formula_sum 'Ag4 Sb2 Br2'
_symmetry_space_group_name_H-M 'C 1 m 1'
_symmetry_Int_Tables_number 8
_cell_length_a 9.121
_cell_length_b 3.899
_cell_length_c 6.457
_cell_angle_alpha 90.00
_cell_angle_beta 108.28
_cell_angle_gamma 90.00
loop_
_symmetry_equiv_pos_as_xyz
'x,y,z'
'x,-y,z'
'x+1/2,y+1/2,z'
'x+1/2,-y+1/2,z'
loop_
_atom_site_label
_atom_site_fract_x
_atom_site_fract_y
_atom_site_fract_z
Ag1 0.000 0.000 0.000
Ag2 0.245 0.500 0.185
Sb1 0.260 0.000 0.861
Br1 0.090 0.500 0.476

No. 4
# PBE-GGA Ag2SbBr6, relaxed
# ΔE to the lowest computed polymorph ... 41 meV per atom
data_Ag2SbBr6
_chemical_formula_sum 'Ag8 Sb4 Br24'
_symmetry_space_group_name_H-M 'C 1 2/c 1'
_symmetry_Int_Tables_number 15
_cell_length_a 14.113
_cell_length_b 13.267
_cell_length_c 8.111
_cell_angle_alpha 90.00
_cell_angle_beta 107.99
_cell_angle_gamma 90.00
loop_
_symmetry_equiv_pos_as_xyz
'x,y,z'
'-x,-y,-z'
'-x,y,-z+1/2'
'x,-y,z+1/2'
'x+1/2,y+1/2,z'
'-x+1/2,-y+1/2,-z'
'-x+1/2,y+1/2,-z+1/2'
'x+1/2,-y+1/2,z+1/2'
loop_
_atom_site_label
_atom_site_fract_x
_atom_site_fract_y
_atom_site_fract_z
Ag1 0.213 0.042 0.258
Sb1 0.000 0.403 0.250
Br1 0.102 0.007 0.457
Br2 0.106 0.396 0.617
Br3 0.127 0.282 0.189

No. 5
The following is a DFT calculation (PBE-GGA) of Ag5SbBr12 after structural relaxation.

CIF file:
```
data_Ag5SbBr12
_chemical_formula_sum 'Ag10 Sb2 Br24'
_symmetry_space_group_name_H-M 'C 1 2/m 1'
_symmetry_Int_Tables_number 12
_cell_length_a 6.867
_cell_length_b 12.517
_cell_length_c 13.202
_cell_angle_alpha 90.00
_cell_angle_beta 99.26
_cell_angle_gamma 90.00
loop_
_symmetry_equiv_pos_as_xyz
'x,y,z'
'-x,-y,-z'
'-x,y,-z'
'x,-y,z'
'x+1/2,y+1/2,z'
'-x+1/2,-y+1/2,-z'
'-x+1/2,y+1/2,-z'
'x+1/2,-y+1/2,z'
loop_
_atom_site_label
_atom_site_fract_x
_atom_site_fract_y
_atom_site_fract_z
Ag1 0.000 0.000 0.000
Ag2 0.000 0.163 0.500
Ag3 0.000 0.333 0.000
Sb1 0.000 0.500 0.500
Br1 0.135 0.341 0.379
Br2 0.141 0.000 0.370
Br3 0.230 0.167 0.117
Br4 0.231 0.500 0.117
```

No. 6
# PBE-GGA Ag2SbBr, relaxed
# ΔE to the lowest computed polymorph ... 132 meV per atom
data_Ag2SbBr
_chemical_formula_sum 'Ag8 Sb4 Br4'
_symmetry_space_group_name_H-M 'I -4 2 d'
_symmetry_Int_Tables_number 122
_symmetry_space_group_name_Hall 'I -4 2bw'
_cell_length_a 6.777
_cell_length_b 6.777
_cell_length_c 10.702
_cell_angle_alpha 90.00
_cell_angle_beta 90.00
_cell_angle_gamma 90.00
loop_
_atom_site_label
_atom_site_fract_x
_atom_site_fract_y
_atom_site_fract_z
Ag1 0.242 0.250 0.125
Sb1 0.000 0.000 0.000
Br1 0.000 0.000 0.500

No. 7
# PBE-GGA AgSbBr6, relaxed
# ΔE to the lowest computed polymorph ... 15 meV per atom
data_AgSbBr6
_chemical_formula_sum 'Ag3 Sb3 Br18'
_symmetry_space_group_name_H-M 'R -3'
_symmetry_Int_Tables_number 148
_symmetry_space_group_name_Hall '-R 3'
_cell_length_a 7.0072
_cell_length_b 7.0072
_cell_length_c 18.5186
_cell_angle_alpha 90.00
_cell_angle_beta 90.00
_cell_angle_gamma 120.00
loop_
_atom_site_label
_atom_site_fract_x
_atom_site_fract_y
_atom_site_fract_z
Ag1 0.0000 0.0000 0.0000
Sb1 0.0000 0.0000 0.5000
Br1 0.0129 0.6979 0.5818

No. 8
# PBE-GGA Ag2SbBr, relaxed
# ΔE to the lowest computed polymorph ... 262 meV per atom
data_Ag2SbBr
_chemical_formula_sum 'Ag4 Sb2 Br2'
_symmetry_space_group_name_H-M 'I -4 m 2'
_symmetry_Int_Tables_number 119
_symmetry_space_group_name_Hall 'I -4 -2'
_cell_length_a 4.085
_cell_length_b 4.085
_cell_length_c 11.743
_cell_angle_alpha 90.00
_cell_angle_beta 90.00
_cell_angle_gamma 90.00
loop_
_atom_site_label
_atom_site_fract_x
_atom_site_fract_y
_atom_site_fract_z
Ag1 0.000 0.000 0.000
Ag2 0.000 0.500 0.250
Sb1 0.000 0.000 0.500
Br1 0.000 0.500 0.750

Number 1: DFT total energy -2.54 eV per atom. Number 2: DFT total energy -2.60 eV per atom. Number 3: DFT total energy -2.85 eV per atom. Number 4: DFT total energy -2.56 eV per atom. Number 5: DFT total energy -2.41 eV per atom. Number 6: DFT total energy -2.80 eV per atom. Number 7: DFT total energy -2.46 eV per atom. Number 8: DFT total energy -2.67 eV per atom.